No. 1
Computed, not measured: an optimized crystal structure of Mn2TcI at the PBE level of DFT.

For the total magnetization, the calculation gives 6.41 μB/f.u. The value obtained for the density of states at the Fermi level is 18.81 states/eV per cell. Its energy above the most stable polymorph in this dataset is 0.000 eV/atom. The raw formation energy is 1012 meV per atom.

Cell and atoms, written as CIF:
```
data_Mn2TcI
_chemical_formula_sum 'Mn8 Tc4 I4'
_cell_length_a 6.372
_cell_length_b 6.372
_cell_length_c 6.372
_cell_angle_alpha 90.00
_cell_angle_beta 90.00
_cell_angle_gamma 90.00
_symmetry_space_group_name_H-M 'F m -3 m'
_symmetry_Int_Tables_number 225
_symmetry_space_group_name_Hall '-F 4 2 3'
loop_
_atom_site_label
_atom_site_fract_x
_atom_site_fract_y
_atom_site_fract_z
Mn1 0.250 0.250 0.250
Tc1 0.000 0.000 0.000
I1 0.000 0.000 0.500
```

No. 2
Computed, not measured: an optimized crystal structure of Rb3ZnIn at the PBE level of DFT.

For the total magnetization, the calculation gives 0.00 μB/f.u. The value obtained for the density of states at the Fermi level is 2.81 states/eV per cell. Its energy above the most stable polymorph in this dataset is 0.000 eV/atom. Its formation enthalpy at 0 K is 0.288 eV/atom.

Cell and atoms, written as CIF:
```
data_Rb3ZnIn
_chemical_formula_sum 'Rb3 Zn1 In1'
_cell_length_a 6.724
_cell_length_b 6.724
_cell_length_c 6.724
_cell_angle_alpha 90.00
_cell_angle_beta 90.00
_cell_angle_gamma 90.00
_symmetry_space_group_name_H-M 'P m -3 m'
_symmetry_Int_Tables_number 221
_symmetry_space_group_name_Hall '-P 4 2 3'
loop_
_atom_site_label
_atom_site_fract_x
_atom_site_fract_y
_atom_site_fract_z
Rb1 0.000 0.000 0.500
Zn1 0.000 0.000 0.000
In1 0.500 0.500 0.500
```

Raw total energy in eV per atom, matching the order above: -6.5519 -1.0948